[1]
## Nd4Hg5Rh2 (PBE)

Data for a relaxed Nd4Hg5Rh2 crystal.

Results
VASP energy   -41.3 eV per cell
Energy of formation from the pure elements   -0.55 eV per atom

a = 7.824 Å, b = 3.761 Å, c = 9.654 Å
α = 90.00°, β = 94.41°, γ = 90.00°
Space group P2/m (No. 10)
Asymmetric unit:
Nd: 0.182 0.000 0.349
Nd: 0.222 0.000 0.939
Hg: 0.169 0.500 0.645
Hg: 0.453 0.500 0.170
Hg: 0.500 0.500 0.500
Rh: 0.076 0.500 0.140

[2]
## Nd2HgRh (PBE)

Data for a relaxed Nd2HgRh crystal.

Results
VASP energy   -58.0 eV per cell
Energy of formation from the pure elements   -0.53 eV per atom
Polymorph energy (0 for the lowest one)   33 meV/atom

a = 4.1561 Å, b = 4.1561 Å, c = 23.0695 Å
α = 90.00°, β = 90.00°, γ = 120.00°
Space group R3m (No. 160, hexagonal axes)
Asymmetric unit:
Nd: 0.0000 0.0000 0.0000
Nd: 0.0000 0.0000 0.1989
Hg: 0.0000 0.0000 0.7659
Rh: 0.0000 0.0000 0.6010